Entry from the Alexandria database: a relaxed structure of Na2HPd (PBE).

The density of states at the Fermi level comes out at 0.2494 states/eV per atom. The calculation puts the energy above the most stable polymorph in this dataset at 0 meV/atom. The calculation puts the raw total energy at -47.9 eV/cell.

a b c (Å): 8.108 6.574 5.788
angles (deg): 90.00 90.00 90.00
Element x y z (fractional)
Na (0.196, 0.163, 0.250)
Na (0.196, 0.837, 0.750)
Na (0.304, 0.337, 0.750)
Na (0.304, 0.663, 0.250)
Na (0.696, 0.337, 0.750)
Na (0.696, 0.663, 0.250)
Na (0.804, 0.163, 0.250)
Na (0.804, 0.837, 0.750)
H (0.000, 0.353, 0.750)
H (0.000, 0.647, 0.250)
H (0.500, 0.147, 0.250)
H (0.500, 0.853, 0.750)
Pd (0.000, 0.500, 0.000)
Pd (0.000, 0.500, 0.500)
Pd (0.500, 0.000, 0.000)
Pd (0.500, 0.000, 0.500)

Entry from the Alexandria database: a relaxed structure of SrLiGaAu (PBE).

The calculation puts the formation energy from the elements at -0.3714 eV per atom. The density of states at the Fermi level comes out at 0.7710 states/eV per atom. The calculation puts the energy above the most stable polymorph in this dataset at 154 meV/atom. The calculation puts the raw total energy at -45.5 eV/cell.

a b c (Å): 7.082 7.082 7.082
angles (deg): 90.00 90.00 90.00
Element x y z (fractional)
Sr (0.000, 0.000, 0.000)
Sr (0.000, 0.500, 0.500)
Sr (0.500, 0.000, 0.500)
Sr (0.500, 0.500, 0.000)
Li (0.250, 0.250, 0.250)
Li (0.250, 0.750, 0.750)
Li (0.750, 0.250, 0.750)
Li (0.750, 0.750, 0.250)
Ga (0.000, 0.000, 0.500)
Ga (0.000, 0.500, 0.000)
Ga (0.500, 0.000, 0.000)
Ga (0.500, 0.500, 0.500)
Au (0.250, 0.250, 0.750)
Au (0.250, 0.750, 0.250)
Au (0.750, 0.250, 0.250)
Au (0.750, 0.750, 0.750)

Entry from the Alexandria database: a relaxed structure of La2AlNi (PBE).

The calculation puts the formation energy from the elements at -0.2924 eV per atom. The density of states at the Fermi level comes out at 1.2106 states/eV per atom. The calculation puts the raw total energy at -20.5 eV/cell.

a b c (Å): 3.912 4.495 6.243
angles (deg): 90.00 107.70 90.00
Element x y z (fractional)
La (0.000, 0.000, 0.000)
La (0.277, 0.500, 0.567)
Al (0.699, 0.000, 0.408)
Ni (0.591, 0.500, 0.191)